No. 1
Here is Pm7Pd2Au2 after structural relaxation from the Alexandria database. Energies are from PBE.

Summary:
Energy = -0.18168 Ha/atom
Size of the total moment = 0.0 μB/f.u.
Calculated volume = 29.48 Å³/atom

abc: 6.852 7.310 6.852
angles: 90.00 109.10 90.00
Atoms (fractional coordinates):
Pm: 0.000 0.267 0.500
Pm: 0.500 0.733 0.000
Pm: 0.000 0.733 0.500
Pm: 0.500 0.267 0.000
Pm: 0.000 0.000 0.000
Pm: 0.500 0.740 0.500
Pm: 0.500 0.260 0.500
Pd: 0.709 0.000 0.291
Pd: 0.291 0.000 0.709
Au: 0.817 0.500 0.817
Au: 0.183 0.500 0.183

***

No. 2
Here is Cs2PuAg2Br6 after structural relaxation from the Alexandria database. Energies are from PBE.

Summary:
Energy = -0.14907 Ha/atom
Size of the total moment = 6.0 μB/f.u.
Calculated volume = 40.62 Å³/atom

abc: 8.290 8.301 8.768
angles: 116.72 90.00 119.96
Last column: magnetic moment on the atom in μB.
Atoms (fractional coordinates):
Cs: 0.726 0.453 0.198  0.00
Cs: 0.274 0.547 0.802  0.00
Pu: 0.500 0.000 0.500  5.48
Ag: 0.950 0.900 0.813  0.06
Ag: 0.050 0.100 0.187  0.06
Br: 0.732 0.463 0.618  -0.01
Br: 0.210 0.894 0.215  0.00
Br: 0.316 0.106 0.785  0.00
Br: 0.790 0.106 0.785  0.00
Br: 0.684 0.894 0.215  0.00
Br: 0.268 0.537 0.382  -0.01

***

No. 3
Here is Na3CoCl6 after structural relaxation from the Alexandria database. Energies are from PBE.

Summary:
Energy = -0.12727 Ha/atom
Distance to the lowest polymorph of the same formula = 26 meV/atom
Size of the total moment = 0.1 μB/f.u.
Calculated volume = 22.93 Å³/atom

abc: 6.952 6.763 6.820
angles: 118.57 120.64 90.00
Last column: magnetic moment on the atom in μB.
Atoms (fractional coordinates):
Na: 0.748 0.285 0.497  0.00
Na: 0.252 0.715 0.503  0.00
Na: 0.000 0.000 0.000  0.00
Co: 0.500 0.500 0.000  -0.13
Cl: 0.337 0.349 0.136  0.00
Cl: 0.202 0.651 0.864  0.00
Cl: 0.663 0.651 0.864  0.00
Cl: 0.798 0.349 0.136  0.00
Cl: 0.285 0.157 0.570  0.00
Cl: 0.715 0.843 0.430  0.00

***

No. 4
Here is Tl5Zn after structural relaxation from the Alexandria database. Energies are from PBE.

Summary:
Energy = -0.07648 Ha/atom
Distance to the lowest polymorph of the same formula = 38 meV/atom
Size of the total moment = 0.0 μB/f.u.
Calculated volume = 28.96 Å³/atom

abc: 5.825 5.825 5.912
angles: 90.00 90.00 120.00
Atoms (fractional coordinates):
Tl: 0.672 0.000 0.000
Tl: 0.328 0.328 0.000
Tl: 0.000 0.672 0.000
Tl: 0.667 0.333 0.500
Tl: 0.333 0.667 0.500
Zn: 0.000 0.000 0.500

***

No. 5
Here is CdAsI2O after structural relaxation from the Alexandria database. Energies are from PBE.

Summary:
Energy = -0.10689 Ha/atom
Distance to the lowest polymorph of the same formula = 0 meV/atom
Size of the total moment = 0.0 μB/f.u.
Calculated volume = 26.98 Å³/atom

abc: 5.921 5.921 3.848
angles: 90.00 90.00 90.00
Atoms (fractional coordinates):
I: 0.000 0.500 0.000
I: 0.500 0.000 0.000
As: 0.000 0.000 0.000
O: 0.000 0.000 0.500
Cd: 0.500 0.500 0.500

***

No. 6
Here is PrNd4Ho7 after structural relaxation from the Alexandria database. Energies are from PBE.

Summary:
Energy = -0.17076 Ha/atom
Distance to the lowest polymorph of the same formula = 0 meV/atom
Size of the total moment = 0.0 μB/f.u.
Calculated volume = 32.92 Å³/atom

abc: 7.238 6.285 11.486
angles: 79.51 51.06 90.05
Atoms (fractional coordinates):
Pr: 0.000 0.000 0.000
Nd: 0.416 0.722 0.335
Nd: 0.584 0.278 0.665
Nd: 0.831 0.777 0.669
Nd: 0.169 0.223 0.331
Ho: 0.753 0.499 0.999
Ho: 0.247 0.501 0.001
Ho: 0.085 0.278 0.667
Ho: 0.915 0.722 0.333
Ho: 0.332 0.778 0.668
Ho: 0.500 0.000 0.000
Ho: 0.668 0.222 0.332

***

No. 7
Here is PmBeGe2Pd after structural relaxation from the Alexandria database. Energies are from PBE.

Summary:
Energy = -0.19144 Ha/atom
Size of the total moment = 0.0 μB/f.u.
Calculated volume = 17.69 Å³/atom

abc: 4.096 4.096 6.017
angles: 109.90 109.90 90.00
Atoms (fractional coordinates):
Pm: 0.000 0.000 0.000
Be: 0.750 0.250 0.500
Ge: 0.619 0.619 0.239
Ge: 0.381 0.381 0.761
Pd: 0.250 0.750 0.500

***

No. 8
Here is MoAs2Ir after structural relaxation from the Alexandria database. Energies are from PBE.

Summary:
Energy = -0.25418 Ha/atom
Distance to the lowest polymorph of the same formula = 375 meV/atom
Size of the total moment = 0.0 μB/f.u.
Calculated volume = 16.36 Å³/atom

abc: 3.025 5.216 4.148
angles: 90.00 90.00 90.00
Atoms (fractional coordinates):
Mo: 0.000 0.500 0.500
Ir: 0.500 0.000 0.500
As: 0.000 0.000 0.000
As: 0.500 0.500 0.000

***

No. 9
Here is Sr6Pd2N after structural relaxation from the Alexandria database. Energies are from PBE.

Summary:
Energy = -0.13516 Ha/atom
Size of the total moment = 0.0 μB/f.u.
Calculated volume = 32.97 Å³/atom

abc: 7.147 8.060 10.304
angles: 90.00 90.88 90.00
Atoms (fractional coordinates):
Sr: 0.878 0.963 0.264
Sr: 0.846 0.706 0.560
Sr: 0.802 0.657 0.939
Sr: 0.698 0.157 0.561
Sr: 0.654 0.206 0.940
Sr: 0.622 0.463 0.236
Sr: 0.122 0.037 0.736
Sr: 0.154 0.294 0.440
Sr: 0.198 0.343 0.061
Sr: 0.302 0.843 0.439
Sr: 0.346 0.794 0.060
Sr: 0.378 0.537 0.764
Pd: 0.961 0.395 0.750
Pd: 0.539 0.895 0.750
Pd: 0.461 0.105 0.250
Pd: 0.039 0.605 0.250
N: 0.500 0.500 0.000
N: 0.000 0.000 0.500

***

No. 10
Here is NpPaP2Ir5 after structural relaxation from the Alexandria database. Energies are from PBE.

Summary:
Energy = -0.33818 Ha/atom
Size of the total moment = 4.0 μB/f.u.
Calculated volume = 19.64 Å³/atom

abc: 4.033 4.033 10.868
angles: 90.00 90.00 90.00
Last column: magnetic moment on the atom in μB.
Atoms (fractional coordinates):
Np: 0.000 0.000 0.500  3.90
Pa: 0.000 0.000 0.000  0.03
P: 0.500 0.500 0.289  -0.01
P: 0.500 0.500 0.711  -0.01
Ir: 0.000 0.500 0.187  0.00
Ir: 0.500 0.000 0.187  0.00
Ir: 0.000 0.500 0.813  0.00
Ir: 0.500 0.000 0.813  0.00
Ir: 0.500 0.500 0.500  -0.15

***

No. 11
Here is Na4Np3TcN8 after structural relaxation from the Alexandria database. Energies are from PBE.

Summary:
Energy = -0.30126 Ha/atom
Size of the total moment = 7.3 μB/f.u.
Calculated volume = 13.86 Å³/atom

abc: 6.723 6.868 6.723
angles: 119.32 120.00 90.00
Last column: magnetic moment on the atom in μB.
Atoms (fractional coordinates):
Na: 0.500 0.000 0.000  0.00
Na: 0.500 0.000 0.500  0.00
Na: 0.000 0.000 0.000  0.00
Na: 0.000 0.000 0.500  0.00
Np: 0.500 0.500 0.000  2.04
Np: 0.500 0.500 0.500  2.04
Np: 0.000 0.500 0.500  2.04
Tc: 0.000 0.500 0.000  1.53
N: 0.227 0.686 0.960  -0.06
N: 0.226 0.686 0.453  -0.06
N: 0.270 0.311 0.541  -0.11
N: 0.733 0.686 0.960  -0.06
N: 0.267 0.314 0.040  -0.06
N: 0.730 0.689 0.459  -0.11
N: 0.774 0.314 0.547  -0.06
N: 0.773 0.314 0.040  -0.06

***

No. 12
Here is CsPu2Sb2Au2 after structural relaxation from the Alexandria database. Energies are from PBE.

Summary:
Energy = -0.25062 Ha/atom
Size of the total moment = 10.9 μB/f.u.
Calculated volume = 31.55 Å³/atom

abc: 4.946 4.946 10.809
angles: 76.78 76.78 60.00
Last column: magnetic moment on the atom in μB.
Atoms (fractional coordinates):
Cs: 0.000 0.000 0.000  0.00
Pu: 0.145 0.145 0.565  5.41
Pu: 0.855 0.855 0.435  5.41
Sb: 0.754 0.754 0.739  -0.06
Sb: 0.246 0.246 0.261  -0.06
Au: 0.549 0.549 0.352  -0.01
Au: 0.451 0.451 0.648  -0.01

***

No. 13
Here is Pm2Dy3Tl3 after structural relaxation from the Alexandria database. Energies are from PBE.

Summary:
Energy = -0.14888 Ha/atom
Distance to the lowest polymorph of the same formula = 24 meV/atom
Size of the total moment = 0.0 μB/f.u.
Calculated volume = 28.75 Å³/atom

abc: 4.500 4.951 10.852
angles: 103.19 101.97 90.00
Atoms (fractional coordinates):
Pm: 0.260 0.760 0.521
Pm: 0.740 0.240 0.479
Dy: 0.383 0.383 0.765
Dy: 0.617 0.617 0.235
Dy: 0.500 0.000 0.000
Tl: 0.876 0.876 0.751
Tl: 0.000 0.500 0.000
Tl: 0.124 0.124 0.249

***

No. 14
Here is CePrDy2Se4 after structural relaxation from the Alexandria database. Energies are from PBE.

Summary:
Energy = -0.22167 Ha/atom
Size of the total moment = 1.0 μB/f.u.
Calculated volume = 25.37 Å³/atom

abc: 4.104 7.312 7.143
angles: 71.20 90.00 90.00
Last column: magnetic moment on the atom in μB.
Atoms (fractional coordinates):
Ce: 0.500 0.500 0.000  0.82
Pr: 0.000 0.500 0.500  0.02
Dy: 0.000 0.000 0.000  0.01
Dy: 0.500 0.000 0.500  0.00
Se: 0.000 0.764 0.747  -0.01
Se: 0.000 0.236 0.253  -0.01
Se: 0.500 0.765 0.242  0.00
Se: 0.500 0.235 0.758  0.00

***

No. 15
Here is HfAgPb2 after structural relaxation from the Alexandria database. Energies are from PBE.

Summary:
Energy = -0.18166 Ha/atom
Distance to the lowest polymorph of the same formula = 0 meV/atom
Size of the total moment = 0.0 μB/f.u.
Calculated volume = 23.76 Å³/atom

abc: 3.303 5.365 5.365
angles: 90.00 90.00 90.00
Atoms (fractional coordinates):
Pb: 0.000 0.000 0.500
Pb: 0.000 0.500 0.000
Hf: 0.500 0.500 0.500
Ag: 0.500 0.000 0.000

***

No. 16
Here is In2SnOsBr after structural relaxation from the Alexandria database. Energies are from PBE.

Summary:
Energy = -0.14116 Ha/atom
Distance to the lowest polymorph of the same formula = 738 meV/atom
Size of the total moment = 0.7 μB/f.u.
Calculated volume = 28.17 Å³/atom

abc: 5.258 5.096 5.258
angles: 90.00 90.00 90.00
Last column: magnetic moment on the atom in μB.
Atoms (fractional coordinates):
Os: 0.000 0.000 0.000  0.40
Sn: 0.500 0.500 0.500  0.08
Br: 0.000 0.500 0.000  0.05
In: 0.000 0.000 0.500  0.00
In: 0.500 0.000 0.000  0.00

***

No. 17
Here is Dy3TeCS after structural relaxation from the Alexandria database. Energies are from PBE.

Summary:
Energy = -0.22276 Ha/atom
Size of the total moment = 0.0 μB/f.u.
Calculated volume = 25.15 Å³/atom

abc: 3.777 7.972 10.371
angles: 104.89 90.00 90.00
Atoms (fractional coordinates):
Dy: 0.250 0.813 0.546
Dy: 0.750 0.866 0.104
Dy: 0.750 0.491 0.138
Dy: 0.750 0.187 0.454
Dy: 0.250 0.509 0.862
Dy: 0.250 0.134 0.896
Te: 0.750 0.799 0.783
Te: 0.250 0.201 0.217
C: 0.250 0.671 0.082
C: 0.750 0.329 0.918
S: 0.250 0.163 0.630
S: 0.750 0.837 0.370

***

No. 18
Here is Sr2YUN4 after structural relaxation from the Alexandria database. Energies are from PBE.

Summary:
Energy = -0.29661 Ha/atom
Size of the total moment = 0.9 μB/f.u.
Calculated volume = 16.43 Å³/atom

abc: 3.600 6.096 6.323
angles: 108.64 90.00 90.00
Last column: magnetic moment on the atom in μB.
Atoms (fractional coordinates):
Sr: 0.500 0.000 0.500  0.02
Sr: 0.000 0.500 0.500  0.02
Y: 0.000 0.000 0.000  0.03
U: 0.500 0.500 0.000  0.79
N: 0.500 0.262 0.200  -0.03
N: 0.500 0.738 0.800  -0.03
N: 0.000 0.280 0.799  -0.03
N: 0.000 0.720 0.201  -0.03

***

No. 19
Here is K2HSeO4 after structural relaxation from the Alexandria database. Energies are from PBE.

Summary:
Energy = -0.16276 Ha/atom
Size of the total moment = 0.9 μB/f.u.
Calculated volume = 16.05 Å³/atom

abc: 4.522 6.247 10.012
angles: 85.31 76.95 68.78
Last column: magnetic moment on the atom in μB.
Atoms (fractional coordinates):
K: 0.172 0.000 0.656  0.01
K: 0.828 0.000 0.344  0.01
K: 0.578 0.500 0.844  0.01
K: 0.922 0.500 0.156  0.01
H: 0.750 0.500 0.500  0.00
H: 0.000 0.000 0.000  0.00
Se: 0.250 0.500 0.500  0.10
Se: 0.500 0.000 0.000  0.10
O: 0.272 0.828 0.091  0.16
O: 0.191 0.172 0.909  0.16
O: 0.900 0.828 0.909  0.16
O: 0.637 0.172 0.091  0.16
O: 0.478 0.672 0.409  0.16
O: 0.559 0.328 0.591  0.16
O: 0.850 0.672 0.591  0.16
O: 0.113 0.328 0.409  0.16